Record 1
Crystalline HfMgSn2 at its relaxed geometry, computed with PBE-GGA.

Cell: 5.1279 5.1279 5.1279 Å, 60.00 60.00 60.00°
Fractional positions:
Sn1 0.0000 0.0000 0.0000
Sn2 0.7500 0.7500 0.7500
Hf1 0.2500 0.2500 0.2500
Mg1 0.5000 0.5000 0.5000

Properties
E in hartree per atom: -0.1704
Size of the total moment in μB per cell: 0.0

Record 2
Crystalline HfMg2Sn at its relaxed geometry, computed with PBE-GGA.

Cell: 4.9969 4.9969 4.9969 Å, 60.00 60.00 60.00°
Fractional positions:
Mg1 0.7500 0.7500 0.7500
Mg2 0.0000 0.0000 0.0000
Sn1 0.5000 0.5000 0.5000
Hf1 0.2500 0.2500 0.2500

Properties
E in hartree per atom: -0.1531
Size of the total moment in μB per cell: 0.0

Record 3
Crystalline Sr2HfMg at its relaxed geometry, computed with PBE-GGA.

Cell: 5.6841 5.6841 5.6841 Å, 60.00 60.00 60.00°
Fractional positions:
Mg1 0.7500 0.7500 0.7500
Hf1 0.5000 0.5000 0.5000
Sr1 0.0000 0.0000 0.0000
Sr2 0.2500 0.2500 0.2500

Properties
E in hartree per atom: -0.1164
Size of the total moment in μB per cell: 0.0

Record 4
Crystalline HfMgTa at its relaxed geometry, computed with PBE-GGA.

Cell: 4.5542 4.5542 4.5542 Å, 60.00 60.00 60.00°
Fractional positions:
Mg1 0.0000 0.0000 0.0000
Hf1 0.2500 0.2500 0.2500
Ta1 0.7500 0.7500 0.7500

Properties
E in hartree per atom: -0.2460
Size of the total moment in μB per cell: 0.0

Record 5
Crystalline HfMg2Ta at its relaxed geometry, computed with PBE-GGA.

Cell: 4.8634 4.8634 4.8634 Å, 60.00 60.00 60.00°
Each line ends with the local moment (μB).
Fractional positions:
Hf1 0.2500 0.2500 0.2500  0.62
Mg1 0.7500 0.7500 0.7500  0.00
Mg2 0.0000 0.0000 0.0000  0.00
Ta1 0.5000 0.5000 0.5000  0.99

Properties
E in hartree per atom: -0.2127
Size of the total moment in μB per cell: 2.4

Record 6
Crystalline HfMgTa2 at its relaxed geometry, computed with PBE-GGA.

Cell: 4.7722 4.7722 4.7722 Å, 60.00 60.00 60.00°
Fractional positions:
Ta1 0.0000 0.0000 0.0000
Ta2 0.2500 0.2500 0.2500
Mg1 0.7500 0.7500 0.7500
Hf1 0.5000 0.5000 0.5000

Properties
E in hartree per atom: -0.3148
Size of the total moment in μB per cell: 0.0

Record 7
Crystalline HfMgTaTc at its relaxed geometry, computed with PBE-GGA.

Cell: 4.6525 4.6525 4.6525 Å, 60.00 60.00 60.00°
Fractional positions:
Ta1 0.2500 0.2500 0.2500
Hf1 0.0000 0.0000 0.0000
Mg1 0.7500 0.7500 0.7500
Tc1 0.5000 0.5000 0.5000

Properties
E in hartree per atom: -0.3061
Size of the total moment in μB per cell: 0.0

Record 8
Crystalline HfMgTaTc at its relaxed geometry, computed with PBE-GGA.

Cell: 4.6577 4.6577 4.6577 Å, 60.00 60.00 60.00°
Fractional positions:
Tc1 0.2500 0.2500 0.2500
Mg1 0.7500 0.7500 0.7500
Hf1 0.5000 0.5000 0.5000
Ta1 0.0000 0.0000 0.0000

Properties
E in hartree per atom: -0.3104
Size of the total moment in μB per cell: 0.0

Record 9
Crystalline HfMgTc at its relaxed geometry, computed with PBE-GGA.

Cell: 4.4557 4.4557 4.4557 Å, 60.00 60.00 60.00°
Fractional positions:
Mg1 0.5000 0.5000 0.5000
Tc1 0.7500 0.7500 0.7500
Hf1 0.0000 0.0000 0.0000

Properties
E in hartree per atom: -0.2524
Size of the total moment in μB per cell: 0.0

Record 10
Crystalline HfMgTc at its relaxed geometry, computed with PBE-GGA.

Cell: 4.5089 4.5089 4.5089 Å, 60.00 60.00 60.00°
Fractional positions:
Tc1 0.7500 0.7500 0.7500
Hf1 0.0000 0.0000 0.0000
Mg1 0.2500 0.2500 0.2500

Properties
E in hartree per atom: -0.2349
Size of the total moment in μB per cell: 0.0

Record 11
Crystalline HfMgTeW at its relaxed geometry, computed with PBE-GGA.

Cell: 4.7685 4.7685 4.7685 Å, 60.00 60.00 60.00°
Fractional positions:
Hf1 0.0000 0.0000 0.0000
Mg1 0.7500 0.7500 0.7500
W1 0.2500 0.2500 0.2500
Te1 0.5000 0.5000 0.5000

Properties
E in hartree per atom: -0.2387
Size of the total moment in μB per cell: 0.0

Record 12
Crystalline HfMgTeW at its relaxed geometry, computed with PBE-GGA.

Cell: 4.7821 4.7821 4.7821 Å, 60.00 60.00 60.00°
Fractional positions:
W1 0.0000 0.0000 0.0000
Mg1 0.7500 0.7500 0.7500
Te1 0.2500 0.2500 0.2500
Hf1 0.5000 0.5000 0.5000

Properties
E in hartree per atom: -0.2345
Size of the total moment in μB per cell: 0.0

Record 13
Crystalline Hf2MgTl at its relaxed geometry, computed with PBE-GGA.

Cell: 8.8853 8.8853 8.8853 Å, 149.69 149.69 43.40°
Fractional positions:
Tl1 0.2500 0.7500 0.5000
Tl2 0.7500 0.2500 0.5000
Hf1 0.6230 0.6230 0.0000
Hf2 0.0000 0.5000 0.5000
Hf3 0.5000 0.0000 0.5000
Hf4 0.3770 0.3770 0.0000
Mg1 0.8759 0.8759 0.0000
Mg2 0.1241 0.1241 0.0000

Properties
E in hartree per atom: -0.2160
Size of the total moment in μB per cell: 0.0

Record 14
Crystalline HfMg2Tl at its relaxed geometry, computed with PBE-GGA.

Cell: 5.0083 5.0083 5.0083 Å, 60.00 60.00 60.00°
Fractional positions:
Tl1 0.5000 0.5000 0.5000
Mg1 0.7500 0.7500 0.7500
Mg2 0.0000 0.0000 0.0000
Hf1 0.2500 0.2500 0.2500

Properties
E in hartree per atom: -0.1332
Size of the total moment in μB per cell: 0.0

Record 15
Crystalline HfMgTl at its relaxed geometry, computed with PBE-GGA.

Cell: 4.5914 7.2115 7.2115 Å, 33.42 90.00 90.00°
Fractional positions:
Mg1 0.5000 0.4183 0.4183
Mg2 0.5000 0.7480 0.7480
Tl1 0.0000 0.9113 0.9113
Tl2 0.5000 0.0959 0.0959
Hf1 0.0000 0.5817 0.5817
Hf2 0.0000 0.2521 0.2521

Properties
E in hartree per atom: -0.1690
Size of the total moment in μB per cell: 0.0

Record 16
Crystalline HfMgTl at its relaxed geometry, computed with PBE-GGA.

Cell: 4.7394 4.7394 4.7394 Å, 60.00 60.00 60.00°
Fractional positions:
Hf1 0.2500 0.2500 0.2500
Tl1 0.0000 0.0000 0.0000
Mg1 0.7500 0.7500 0.7500

Properties
E in hartree per atom: -0.1551
Size of the total moment in μB per cell: 0.0

Record 17
Crystalline TmHfMg at its relaxed geometry, computed with PBE-GGA.

Cell: 4.9151 4.9151 4.9151 Å, 60.00 60.00 60.00°
Fractional positions:
Mg1 0.0000 0.0000 0.0000
Hf1 0.2500 0.2500 0.2500
Tm1 0.7500 0.7500 0.7500

Properties
E in hartree per atom: -0.1681
Size of the total moment in μB per cell: 0.0

Record 18
Crystalline HfMg2W at its relaxed geometry, computed with PBE-GGA.

Cell: 4.7652 4.7652 4.7652 Å, 60.00 60.00 60.00°
Each line ends with the local moment (μB).
Fractional positions:
Hf1 0.5000 0.5000 0.5000  0.11
W1 0.7500 0.7500 0.7500  0.19
Mg1 0.0000 0.0000 0.0000  0.00
Mg2 0.2500 0.2500 0.2500  0.00

Properties
E in hartree per atom: -0.2218
Size of the total moment in μB per cell: 0.4

Record 19
Crystalline HfMgW at its relaxed geometry, computed with PBE-GGA.

Cell: 4.5765 4.5765 4.5765 Å, 60.00 60.00 60.00°
Fractional positions:
Mg1 0.7500 0.7500 0.7500
W1 0.0000 0.0000 0.0000
Hf1 0.2500 0.2500 0.2500

Properties
E in hartree per atom: -0.2594
Size of the total moment in μB per cell: 1.0

Record 20
Crystalline YHfMg2 at its relaxed geometry, computed with PBE-GGA.

Cell: 5.1960 5.1960 5.1960 Å, 60.00 60.00 60.00°
Each line ends with the local moment (μB).
Fractional positions:
Hf1 0.7500 0.7500 0.7500  0.20
Mg1 0.2500 0.2500 0.2500  0.00
Mg2 0.0000 0.0000 0.0000  0.00
Y1 0.5000 0.5000 0.5000  0.07

Properties
E in hartree per atom: -0.1684
Size of the total moment in μB per cell: 0.4

Record 21
Crystalline HfMgZn2 at its relaxed geometry, computed with PBE-GGA.

Cell: 4.6239 4.6239 4.6239 Å, 60.00 60.00 60.00°
Fractional positions:
Zn1 0.0000 0.0000 0.0000
Zn2 0.2500 0.2500 0.2500
Mg1 0.7500 0.7500 0.7500
Hf1 0.5000 0.5000 0.5000

Properties
E in hartree per atom: -0.1247
Size of the total moment in μB per cell: 0.0

Record 22
Crystalline HfMgZn at its relaxed geometry, computed with PBE-GGA.

Cell: 4.6145 4.6145 4.6145 Å, 60.00 60.00 60.00°
Fractional positions:
Hf1 0.0000 0.0000 0.0000
Zn1 0.7500 0.7500 0.7500
Mg1 0.2500 0.2500 0.2500

Properties
E in hartree per atom: -0.1303
Size of the total moment in μB per cell: 0.0

Record 23
Crystalline HfMgZn at its relaxed geometry, computed with PBE-GGA.

Cell: 4.4939 4.4939 4.4939 Å, 60.00 60.00 60.00°
Fractional positions:
Hf1 0.2500 0.2500 0.2500
Zn1 0.7500 0.7500 0.7500
Mg1 0.0000 0.0000 0.0000

Properties
E in hartree per atom: -0.1321
Size of the total moment in μB per cell: 0.0

Record 24
Crystalline HfMg2Zn at its relaxed geometry, computed with PBE-GGA.

Cell: 4.7752 4.7752 4.7752 Å, 60.00 60.00 60.00°
Fractional positions:
Zn1 0.5000 0.5000 0.5000
Mg1 0.0000 0.0000 0.0000
Mg2 0.7500 0.7500 0.7500
Hf1 0.2500 0.2500 0.2500

Properties
E in hartree per atom: -0.1288
Size of the total moment in μB per cell: 0.0

Record 25
Crystalline HfMg2Zn at its relaxed geometry, computed with PBE-GGA.

Cell: 4.7723 4.7723 4.7723 Å, 60.00 60.00 60.00°
Fractional positions:
Hf1 0.5000 0.5000 0.5000
Mg1 0.7500 0.7500 0.7500
Mg2 0.0000 0.0000 0.0000
Zn1 0.2500 0.2500 0.2500

Properties
E in hartree per atom: -0.1288
Size of the total moment in μB per cell: 0.0

Record 26
Crystalline HfMgZr at its relaxed geometry, computed with PBE-GGA.

Cell: 4.7209 4.7209 4.7209 Å, 60.00 60.00 60.00°
Fractional positions:
Zr1 0.7500 0.7500 0.7500
Hf1 0.2500 0.2500 0.2500
Mg1 0.0000 0.0000 0.0000

Properties
E in hartree per atom: -0.2162
Size of the total moment in μB per cell: 0.0

Record 27
Crystalline Hf2MgZr at its relaxed geometry, computed with PBE-GGA.

Cell: 3.1404 3.1404 9.1285 Å, 90.00 90.00 90.00°
Fractional positions:
Hf1 0.0000 0.0000 0.4849
Hf2 0.5000 0.5000 0.7201
Zr1 0.5000 0.5000 0.2399
Mg1 0.0000 0.0000 0.9788

Properties
E in hartree per atom: -0.2752
Size of the total moment in μB per cell: 0.0

Record 28
Crystalline HfMg2Zr at its relaxed geometry, computed with PBE-GGA.

Cell: 5.0361 5.0361 5.0361 Å, 60.00 60.00 60.00°
Each line ends with the local moment (μB).
Fractional positions:
Zr1 0.5000 0.5000 0.5000  0.90
Mg1 0.7500 0.7500 0.7500  0.00
Mg2 0.0000 0.0000 0.0000  0.00
Hf1 0.2500 0.2500 0.2500  0.76

Properties
E in hartree per atom: -0.1872
Size of the total moment in μB per cell: 2.5

Record 29
Crystalline HfMo2 at its relaxed geometry, computed with PBE-GGA.

Cell: 5.3870 5.3870 8.6329 Å, 90.00 90.00 120.00°
Fractional positions:
Hf1 0.6667 0.3333 0.9396
Hf2 0.3333 0.6667 0.0604
Hf3 0.3333 0.6667 0.4396
Hf4 0.6667 0.3333 0.5604
Mo1 0.0000 0.0000 0.0000
Mo2 0.8301 0.1699 0.2500
Mo3 0.6601 0.8301 0.7500
Mo4 0.0000 0.0000 0.5000
Mo5 0.3399 0.1699 0.2500
Mo6 0.8301 0.6601 0.2500
Mo7 0.1699 0.3399 0.7500
Mo8 0.1699 0.8301 0.7500

Properties
Energy relative to the elements in eV per atom: -0.15
E in hartree per atom: -0.3932
Size of the total moment in μB per cell: 0.0

Record 30
Crystalline Hf2Mo at its relaxed geometry, computed with PBE-GGA.

Cell: 5.5679 5.5679 8.8254 Å, 90.00 90.00 120.00°
Fractional positions:
Mo1 0.6667 0.3333 0.5643
Mo2 0.3333 0.6667 0.4357
Mo3 0.6667 0.3333 0.9357
Mo4 0.3333 0.6667 0.0643
Hf1 0.1738 0.8262 0.7500
Hf2 0.0000 0.0000 0.0000
Hf3 0.0000 0.0000 0.5000
Hf4 0.3475 0.1738 0.2500
Hf5 0.8262 0.6525 0.2500
Hf6 0.8262 0.1738 0.2500
Hf7 0.6525 0.8262 0.7500
Hf8 0.1738 0.3475 0.7500

Properties
Energy relative to the elements in eV per atom: 0.63
E in hartree per atom: -0.3538
Size of the total moment in μB per cell: 0.0